(1)
A relaxed structure of AgMo2W. Source: the Alexandria database, functional GGA-PBE.

abc: 7.2445 7.2445 5.4731
angles: 90.00 90.00 90.00
Space group I-42d (No. 122)
One atom of each set of equivalent atoms:
Ag1 0.0000 0.0000 0.0000 x4
Mo1 0.2253 0.2500 0.6250 x8
W1 0.0000 0.0000 0.5000 x4

For the formation enthalpy at 0 K, the calculation gives 1.070 eV/atom.

(2)
A relaxed structure of CaMg4Pb4. Source: the Alexandria database, functional GGA-PBE.

abc: 7.3951 7.3951 9.6264
angles: 90.00 90.00 90.00
Space group P4_2/nmc (No. 137, origin choice 2)
One atom of each set of equivalent atoms:
Ca1 0.2500 0.7500 0.2500 x2
Mg1 0.0264 0.2500 0.1634 x8
Pb1 0.0131 0.2500 0.4688 x8

For the formation enthalpy at 0 K, the calculation gives -0.085 eV/atom.

(3)
A relaxed structure of HoScP2. Source: the Alexandria database, functional GGA-PBE.

abc: 3.8511 3.8511 19.6763
angles: 90.00 90.00 120.00
Space group R3m (No. 160, hexagonal axes)
One atom of each set of equivalent atoms:
Ho1 0.0000 0.0000 0.0000 x3
Sc1 0.0000 0.0000 0.1716 x3
P1 0.0000 0.0000 0.4227 x3
P2 0.0000 0.0000 0.5828 x3

For the formation enthalpy at 0 K, the calculation gives -1.373 eV/atom.

(4)
A relaxed structure of Cu3SiGe. Source: the Alexandria database, functional GGA-PBE.

abc: 4.4850 4.4850 4.4850
angles: 90.00 90.00 90.00
Space group Pm-3m (No. 221)
One atom of each set of equivalent atoms:
Cu1 0.0000 0.0000 0.5000 x3
Si1 0.5000 0.5000 0.5000 x1
Ge1 0.0000 0.0000 0.0000 x1

The value obtained for the raw formation energy is 766 meV/atom.

(5)
A relaxed structure of Cs4SrCd3Cl12. Source: the Alexandria database, functional GGA-PBE.

abc: 10.8442 10.8442 10.8442
angles: 90.00 90.00 90.00
Space group Im-3m (No. 229)
One atom of each set of equivalent atoms:
Cs1 0.2500 0.2500 0.2500 x8
Sr1 0.0000 0.0000 0.0000 x2
Cd1 0.0000 0.0000 0.5000 x6
Cl1 0.0000 0.0000 0.2608 x12
Cl2 0.0000 0.2500 0.5000 x12

The value obtained for the raw formation energy is -1679 meV/atom.

(6)
A relaxed structure of Ba2ZrSc. Source: the Alexandria database, functional GGA-PBE.

abc: 8.3051 8.3051 8.3051
angles: 90.00 90.00 90.00
Space group Fm-3m (No. 225)
One atom of each set of equivalent atoms:
Ba1 0.2500 0.2500 0.2500 x8
Zr1 0.0000 0.0000 0.0000 x4
Sc1 0.0000 0.0000 0.5000 x4

For the formation enthalpy at 0 K, the calculation gives 0.703 eV/atom.

(7)
A relaxed structure of NaLiGe4O9. Source: the Alexandria database, functional GGA-PBE.

abc: 16.1891 4.7396 9.4752
angles: 90.00 90.00 90.00
Space group Pca2_1 (No. 29)
One atom of each set of equivalent atoms:
Na1 0.0453 0.0254 0.0000 x4
Li1 0.2353 0.9589 0.7865 x4
Ge1 0.0954 0.4934 0.3102 x4
Ge2 0.0979 0.5093 0.7277 x4
Ge3 0.1549 0.9990 0.5193 x4
Ge4 0.2063 0.5005 0.0210 x4
O1 0.0035 0.3428 0.7821 x4
O2 0.0712 0.7722 0.6050 x4
O3 0.0730 0.2238 0.4327 x4
O4 0.1305 0.3564 0.1417 x4
O5 0.1431 0.6724 0.8852 x4
O6 0.1626 0.2252 0.6841 x4
O7 0.1635 0.7661 0.3568 x4
O8 0.2379 0.7653 0.6075 x4
O9 0.2420 0.2220 0.4367 x4

The value obtained for the raw formation energy is -1754 meV/atom.

(8)
A relaxed structure of Ba5NaTl3. Source: the Alexandria database, functional GGA-PBE.

abc: 10.6733 10.6733 7.8816
angles: 90.00 90.00 120.00
Space group P6_3/mcm (No. 193)
One atom of each set of equivalent atoms:
Ba1 0.0000 0.3070 0.2500 x6
Ba2 0.3333 0.6667 0.0000 x4
Na1 0.0000 0.0000 0.0000 x2
Tl1 0.0000 0.3597 0.7500 x6

For the formation enthalpy at 0 K, the calculation gives -0.229 eV/atom.

(9)
A relaxed structure of NaAs2RhBr. Source: the Alexandria database, functional GGA-PBE.

abc: 4.9614 4.9614 5.0503
angles: 90.00 90.00 90.00
Space group P4/mmm (No. 123)
One atom of each set of equivalent atoms:
Na1 0.0000 0.0000 0.0000 x1
As1 0.0000 0.5000 0.0000 x2
Rh1 0.5000 0.5000 0.5000 x1
Br1 0.0000 0.0000 0.5000 x1

The value obtained for the raw formation energy is 1216 meV/atom.

(10)
A relaxed structure of FeTc. Source: the Alexandria database, functional GGA-PBE.

abc: 2.9228 2.9228 6.1479
angles: 90.00 90.00 90.00
Space group P4/nmm (No. 129, origin choice 2)
One atom of each set of equivalent atoms:
Fe1 0.2500 0.2500 0.1071 x2
Tc1 0.2500 0.2500 0.6366 x2

For the formation enthalpy at 0 K, the calculation gives 0.079 eV/atom.

(11)
A relaxed structure of Y2Ga5Fe. Source: the Alexandria database, functional GGA-PBE.

abc: 6.0812 6.0812 8.5961
angles: 90.00 90.00 90.00
Space group I4mm (No. 107)
One atom of each set of equivalent atoms:
Y1 0.0000 0.5000 0.0000 x4
Ga1 0.0000 0.0000 0.0096 x2
Ga2 0.2175 0.2175 0.2486 x8
Fe1 0.0000 0.0000 0.7275 x2

For the formation enthalpy at 0 K, the calculation gives -0.380 eV/atom.

(12)
A relaxed structure of Re2RuN. Source: the Alexandria database, functional GGA-PBE.

abc: 4.9363 4.9363 10.4210
angles: 90.00 90.00 90.00
Space group I-42d (No. 122)
One atom of each set of equivalent atoms:
Re1 0.1668 0.2500 0.1250 x8
Ru1 0.0000 0.0000 0.5000 x4
N1 0.0000 0.0000 0.0000 x4

The value obtained for the raw formation energy is 661 meV/atom.

(13)
A relaxed structure of AcY3Er7. Source: the Alexandria database, functional GGA-PBE.

abc: 5.9286 11.0147 11.3359
angles: 90.00 90.00 90.00
Space group Immm (No. 71)
One atom of each set of equivalent atoms:
Ac1 0.0000 0.0000 0.0000 x2
Y1 0.0000 0.2081 0.5000 x4
Y2 0.0000 0.5000 0.0000 x2
Er1 0.0000 0.0000 0.3006 x4
Er2 0.0000 0.3104 0.2148 x8
Er3 0.0000 0.5000 0.5000 x2

For the formation enthalpy at 0 K, the calculation gives 0.314 eV/atom.

(14)
A relaxed structure of Na3ZrSe. Source: the Alexandria database, functional GGA-PBE.

abc: 5.5169 5.5169 5.5169
angles: 90.00 90.00 90.00
Space group Pm-3m (No. 221)
One atom of each set of equivalent atoms:
Na1 0.0000 0.0000 0.5000 x3
Zr1 0.5000 0.5000 0.5000 x1
Se1 0.0000 0.0000 0.0000 x1

The value obtained for the raw formation energy is 350 meV/atom.

| no. | DOS at the Fermi energy (states/eV/cell) |
| --- | --- |
| 1 | 15.1 |
| 2 | 8.1 |
| 3 | 1.1 |
| 4 | 1.7 |
| 5 | 0.0 |
| 6 | 29.0 |
| 7 | 0.0 |
| 8 | 33.1 |
| 9 | 6.3 |
| 10 | 3.5 |
| 11 | 9.3 |
| 12 | 10.1 |
| 13 | 37.2 |
| 14 | 11.4 |